A plane-wave DFT calculation with PBE was carried out for a relaxed structure of LuPuBi.

Geometry as POSCAR:
```
LuPuBi
1.0
5.272 0.000 0.000
-2.636 4.566 0.000
0.000 0.000 3.655
Lu Pu Bi
1 1 1
Cartesian
0.000 0.000 0.000 Lu
2.636 1.522 1.672 Pu
0.000 3.044 3.092 Bi
```

Computed properties:
The space-group type is No. 156. As for the volume: 88.0 Å³ per cell. As for the offset from the most stable computed form: 0.094 eV/atom. The raw total energy is -7.70 eV/atom. The value obtained for the calculated formation energy is -34 kJ/mol of formula units.